1.
DFT (GGA-PBE) results for an optimized crystal structure of NpInCoPt.

a b c (Å): 4.7186 4.7186 4.7186
angles (deg): 60.00 60.00 60.00
Fractional coordinates of all 4 atoms:
Np 0.0000 0.0000 0.0000
In 0.5000 0.5000 0.5000
Co 0.7500 0.7500 0.7500
Pt 0.2500 0.2500 0.2500

Values from the calculation:
Space-group type: F-43m, No. 216
Crystal system: cubic
ΔH_f (0 K): -69 kJ/mol of formula units
Magnetic moment: 2.45 μB/f.u.
Uncorrected energy: -29.54 eV for the cell shown
Calculated volume: 74 Å³ per cell

2.
DFT (GGA-PBE) results for an optimized crystal structure of NpInCoRh.

a b c (Å): 4.6540 4.6540 4.6540
angles (deg): 60.00 60.00 60.00
Fractional coordinates of all 4 atoms:
Np 0.0000 0.0000 0.0000
In 0.5000 0.5000 0.5000
Co 0.2500 0.2500 0.2500
Rh 0.7500 0.7500 0.7500

Values from the calculation:
Space-group type: F-43m, No. 216
Crystal system: cubic
ΔH_f (0 K): -48 kJ/mol of formula units
Magnetic moment: 2.48 μB/f.u.
Uncorrected energy: -30.63 eV for the cell shown
Calculated volume: 71 Å³ per cell

3.
DFT (GGA-PBE) results for an optimized crystal structure of NpInCoRu.

a b c (Å): 4.6207 4.6207 4.6207
angles (deg): 60.00 60.00 60.00
Fractional coordinates of all 4 atoms:
Np 0.0000 0.0000 0.0000
In 0.5000 0.5000 0.5000
Co 0.2500 0.2500 0.2500
Ru 0.7500 0.7500 0.7500

Values from the calculation:
Space-group type: F-43m, No. 216
Crystal system: cubic
ΔH_f (0 K): 5 kJ/mol of formula units
Magnetic moment: 2.51 μB/f.u.
Uncorrected energy: -32.01 eV for the cell shown
Calculated volume: 70 Å³ per cell